Compound: RbGaAu
Source: Alexandria via LeMat-Bulk
Functional: PBE-GGA
Structure: optimized geometry

Output
* energy of formation: -166 meV/atom
* magnetization: 0.0 μB per formula unit
* theoretical density: 6.74 g cm⁻³
* volume: 86.8 Å³/cell
* E above lowest polymorph: 124 meV per atom

```
3
Lattice="-1.860 1.860 6.270 1.860 -1.860 6.270 1.860 1.860 -6.270" Properties=species:S:1:pos:R:3 pbc="T T T"
Rb 0.000 0.000 0.000
Ga 0.000 0.000 3.464
Au 0.000 0.000 9.046
```

***

Compound: SrTbNpO6
Source: Alexandria via LeMat-Bulk
Functional: PBE-GGA
Structure: optimized geometry

Output
* magnetization: 0.0 μB per formula unit
* ΔE_f (raw): -3.00 eV/atom
* theoretical density: 6.39 g cm⁻³
* volume: 301.1 Å³/cell

```
18
Lattice="5.861 0.000 0.000 -2.931 5.076 0.000 0.000 0.000 10.122" Properties=species:S:1:pos:R:3 pbc="T T T"
Sr 0.000 0.000 0.000
Sr 0.000 0.000 5.061
Tb 0.000 3.384 2.530
Tb 2.931 1.692 7.591
Np 0.000 3.384 7.591
Np 2.931 1.692 2.530
O -0.934 1.943 6.508
O -1.715 3.296 8.675
O 0.934 1.943 8.675
O -0.781 4.913 6.508
O 2.150 0.163 1.447
O 1.216 1.780 3.614
O 1.715 3.296 6.508
O 0.781 4.913 8.675
O 3.712 0.163 3.614
O 1.997 3.133 1.447
O 4.645 1.780 1.447
O 3.864 3.133 3.614
```

***

Compound: Zn3TeSe
Source: Alexandria via LeMat-Bulk
Functional: PBE-GGA
Structure: optimized geometry

Output
* magnetization: 0.0 μB per formula unit
* ΔE_f (raw): 0.13 eV/atom
* theoretical density: 5.44 g cm⁻³
* volume: 123.0 Å³/cell
* E above lowest polymorph: 0 meV per atom

```
5
Lattice="4.973 0.000 0.000 0.000 4.973 0.000 0.000 0.000 4.973" Properties=species:S:1:pos:R:3 pbc="T T T"
Zn 0.000 0.000 2.486
Zn 0.000 2.486 0.000
Zn 2.486 0.000 0.000
Te 2.486 2.486 2.486
Se 0.000 0.000 0.000
```

***

Compound: La2Cu2Pd
Source: Alexandria via LeMat-Bulk
Functional: PBE-GGA
Structure: optimized geometry

Output
* energy of formation: -261 meV/atom
* magnetization: 0.0 μB per formula unit
* theoretical density: 7.54 g cm⁻³
* volume: 112.6 Å³/cell
* E above lowest polymorph: 162 meV per atom

```
5
Lattice="-1.793 1.793 8.755 1.793 -1.793 8.755 1.793 1.793 -8.755" Properties=species:S:1:pos:R:3 pbc="T T T"
La 0.000 0.000 1.851
La 0.000 0.000 15.658
Cu 1.793 0.000 4.377
Cu 0.000 1.793 4.377
Pd 0.000 0.000 8.755
```

***

Compound: AgRuN
Source: Alexandria via LeMat-Bulk
Functional: PBE-GGA
Structure: optimized geometry

Output
* magnetization: 0.0 μB per formula unit
* ΔE_f (raw): 0.64 eV/atom
* theoretical density: 9.17 g cm⁻³
* volume: 80.7 Å³/cell

```
6
Lattice="3.860 0.000 0.000 0.000 3.860 0.000 0.000 0.000 5.418" Properties=species:S:1:pos:R:3 pbc="T T T"
Ag 0.965 0.965 0.415
Ag 2.895 2.895 5.004
Ru 0.965 2.895 2.709
Ru 2.895 0.965 2.709
N 0.965 0.965 3.534
N 2.895 2.895 1.884
```

***

Compound: Li12Tl2Cd5
Source: Alexandria via LeMat-Bulk
Functional: PBE-GGA
Structure: optimized geometry

Output
* energy of formation: -192 meV/atom
* magnetization: 0.0 μB per formula unit
* theoretical density: 4.85 g cm⁻³
* volume: 360.6 Å³/cell

```
19
Lattice="7.552 -4.882 0.000 7.552 4.882 0.000 -1.002 0.000 4.890" Properties=species:S:1:pos:R:3 pbc="T T T"
Li 3.746 2.439 3.934
Li 0.666 0.000 1.347
Li 5.621 2.392 1.995
Li 8.481 2.392 2.895
Li 4.871 0.000 4.693
Li 10.357 2.439 0.956
Li 3.746 -2.439 3.934
Li 9.231 0.000 0.196
Li 5.621 -2.392 1.995
Li 8.481 -2.392 2.895
Li 13.437 0.000 3.543
Li 10.357 -2.439 0.956
Tl 7.552 2.377 0.000
Tl 7.552 -2.377 0.000
Cd 1.797 0.000 4.100
Cd 3.878 0.000 1.975
Cd 7.051 0.000 2.445
Cd 10.224 0.000 2.914
Cd 12.306 0.000 0.790
```

***

Compound: CeSm6Tl5
Source: Alexandria via LeMat-Bulk
Functional: PBE-GGA
Structure: optimized geometry

Output
* energy of formation: -174 meV/atom
* magnetization: 2.2 μB per formula unit
* theoretical density: 9.22 g cm⁻³
* volume: 371.6 Å³/cell
* E above lowest polymorph: 99 meV per atom

```
12
Lattice="5.272 -5.816 0.000 5.272 5.816 0.000 -1.493 0.000 6.059" Properties=species:S:1:pos:R:3 pbc="T T T"
Ce 0.000 0.000 0.000
Sm 2.485 2.105 1.613
Sm 1.744 0.000 4.704
Sm 2.485 -2.105 1.613
Sm 6.567 2.105 4.446
Sm 7.307 0.000 1.355
Sm 6.567 -2.105 4.446
Tl 4.526 4.219 3.030
Tl 5.272 2.305 0.000
Tl 4.526 0.000 3.030
Tl 5.272 -2.305 0.000
Tl 4.526 -4.219 3.030
```

***

Compound: MgZrV4
Source: Alexandria via LeMat-Bulk
Functional: PBE-GGA
Structure: optimized geometry

Output
* energy of formation: 190 meV/atom
* magnetization: 0.0 μB per formula unit
* theoretical density: 5.37 g cm⁻³
* volume: 98.6 Å³/cell

```
6
Lattice="0.000 3.667 3.667 3.667 0.000 3.667 3.667 3.667 0.000" Properties=species:S:1:pos:R:3 pbc="T T T"
Mg 0.000 0.000 0.000
Zr 1.834 1.834 1.834
V 4.559 2.776 2.776
V 2.776 4.559 2.776
V 2.776 2.776 4.559
V 4.559 4.559 4.559
```

***

Compound: TlInCl3
Source: Alexandria via LeMat-Bulk
Functional: PBE-GGA
Structure: optimized geometry

Output
* magnetization: 0.0 μB per formula unit
* ΔE_f (raw): -1.03 eV/atom
* theoretical density: 3.97 g cm⁻³
* volume: 712.4 Å³/cell

```
20
Lattice="8.504 0.000 0.000 0.000 6.129 0.000 -5.182 0.000 13.669" Properties=species:S:1:pos:R:3 pbc="T T T"
Tl 0.771 1.058 2.036
Tl -1.820 2.007 8.870
Tl 5.142 4.122 4.799
Tl 2.551 5.071 11.633
In 0.784 3.751 6.000
In -1.807 5.442 12.834
In 5.129 0.687 0.835
In 2.538 2.377 7.669
Cl -3.223 0.670 11.327
Cl -0.632 2.394 4.493
Cl 1.480 4.309 0.248
Cl -1.111 4.884 7.083
Cl -0.707 3.866 11.322
Cl 1.884 5.327 4.487
Cl 1.438 0.801 9.181
Cl 4.029 2.263 2.347
Cl 4.433 1.245 6.586
Cl 1.842 1.820 13.420
Cl 3.954 3.735 9.176
Cl 6.545 5.459 2.342
```

***

Compound: TmVCl2
Source: Alexandria via LeMat-Bulk
Functional: PBE-GGA
Structure: optimized geometry

Output
* magnetization: 3.7 μB per formula unit
* ΔE_f (raw): -0.55 eV/atom
* theoretical density: 5.08 g cm⁻³
* volume: 95.0 Å³/cell

```
4
Lattice="1.809 1.044 8.380 -1.809 1.044 8.380 0.000 -2.089 8.380" Properties=species:S:1:pos:R:3 pbc="T T T"
Tm 0.000 0.000 0.000
V 0.000 0.000 12.570
Cl 0.000 0.000 2.783
Cl 0.000 0.000 22.357
```

***

Compound: FeReNi
Source: Alexandria via LeMat-Bulk
Functional: PBE-GGA
Structure: optimized geometry

Output
* energy of formation: 29 meV/atom
* magnetization: 1.9 μB per formula unit
* theoretical density: 13.49 g cm⁻³
* volume: 37.0 Å³/cell
* E above lowest polymorph: 0 meV per atom

```
3
Lattice="4.116 0.000 0.000 -2.058 3.565 0.000 0.000 0.000 2.522" Properties=species:S:1:pos:R:3 pbc="T T T"
Fe 0.000 0.000 0.000
Re 0.000 2.377 1.261
Ni 2.058 1.188 0.000
```

***

Compound: Tb2Zn3Ag5
Source: Alexandria via LeMat-Bulk
Functional: PBE-GGA
Structure: optimized geometry

Output
* energy of formation: -175 meV/atom
* magnetization: 0.0 μB per formula unit
* theoretical density: 8.62 g cm⁻³
* volume: 405.8 Å³/cell

```
20
Lattice="-5.783 6.085 2.883 5.783 -6.085 2.883 5.783 6.085 -2.883" Properties=species:S:1:pos:R:3 pbc="T T T"
Tb 1.524 2.847 0.000
Tb 7.307 3.238 0.000
Tb -1.524 2.847 2.883
Tb 4.259 3.238 2.883
Zn 4.284 -4.431 2.883
Zn 5.783 0.000 1.442
Zn 4.284 4.431 0.000
Zn 1.499 1.654 2.883
Zn 0.000 6.085 1.442
Zn 1.499 10.516 0.000
Ag 4.550 1.890 0.000
Ag 0.000 0.000 1.442
Ag 2.989 0.000 1.442
Ag 8.576 0.000 1.442
Ag 4.550 -1.890 2.883
Ag 1.233 7.975 0.000
Ag -2.793 6.085 1.442
Ag 2.793 6.085 1.442
Ag 0.000 0.000 4.325
Ag 1.233 4.195 2.883
```